Record 1
VASP calculation (PBE) on crystalline LaTbPdAu at its relaxed geometry.

## Properties
* space-group type: F-43m
* total magnetic moment: 0.00 μB per atom
* calculated volume: 97.98 Å³/cell
* final energy: -21.17 eV per cell
* ΔE_f: -0.785 eV per atom

Cell: 5.175 5.175 5.175 Å, 60.00 60.00 60.00°
Element x y z (fractional)
Tb (0.750, 0.750, 0.750)
Au (0.000, 0.000, 0.000)
Pd (0.500, 0.500, 0.500)
La (0.250, 0.250, 0.250)


Record 2
VASP calculation (PBE) on crystalline LiYTc at its relaxed geometry.

## Properties
* space-group type: Fmm2
* total magnetic moment: 0.00 μB per atom
* calculated volume: 61.19 Å³/cell
* final energy: -17.42 eV per cell
* ΔE_f: 0.442 eV per atom

Cell: 7.574 7.353 3.029 Å, 82.43 74.21 23.35°
Element x y z (fractional)
Li (0.978, 0.978, 0.022)
Tc (0.335, 0.335, 0.665)
Y (0.687, 0.687, 0.313)


Record 3
VASP calculation (PBE) on crystalline MgVBi2 at its relaxed geometry.

## Properties
* space-group type: R-3m
* total magnetic moment: 1.00 μB per atom
* calculated volume: 109.04 Å³/cell
* final energy: -16.42 eV per cell
* ΔE_f: 0.513 eV per atom

Cell: 3.437 3.437 10.840 Å, 80.88 80.88 60.00°
Site moments in Bohr magnetons follow the coordinates.
Element x y z (fractional)
Mg (0.500, 0.500, 0.500)  0.01
Bi (0.090, 0.090, 0.731)  0.02
Bi (0.910, 0.910, 0.269)  0.02
V (0.000, 0.000, 0.000)  2.95


Record 4
VASP calculation (PBE) on crystalline ErZrRh4 at its relaxed geometry.

## Properties
* space-group type: Pmm2
* total magnetic moment: 0.00 μB per atom
* calculated volume: 111.07 Å³/cell
* final energy: -44.51 eV per cell
* ΔE_f: -0.332 eV per atom

Cell: 3.130 4.547 7.806 Å, 90.01 89.99 90.00°
Element x y z (fractional)
Er (0.500, 0.497, 0.998)
Zr (0.002, 0.997, 0.498)
Rh (0.501, 0.997, 0.223)
Rh (0.502, 0.997, 0.774)
Rh (0.001, 0.497, 0.700)
Rh (0.001, 0.497, 0.296)